Entry 1:
# BiPbW2

An optimized crystal structure of BiPbW2 (PBE-GGA, Alexandria).

ΔE_f ... 674 kJ/mol of formula units
Energy above the lowest structure with this stoichiometry ... 484 meV/atom
V ... 23.3 A^3/atom

```
BiPbW2
1.0
-3.9946 3.9946 2.9222
3.9946 -3.9946 2.9222
3.9946 3.9946 -2.9222
Bi Pb W
2 2 4
direct
0.0000 0.0000 0.0000
0.7500 0.2500 0.5000
0.2500 0.7500 0.5000
0.5000 0.5000 0.0000
0.1234 0.6250 0.9984
0.3750 0.3734 0.4984
0.6266 0.1250 0.0016
0.8750 0.8766 0.5016
```

Entry 2:
# YEr5Sc4

An optimized crystal structure of YEr5Sc4 (PBE-GGA, Alexandria).

ΔE_f ... 49 kJ/mol of formula units
Energy above the lowest structure with this stoichiometry ... 0 meV/atom
V ... 28.2 A^3/atom

```
YEr5Sc4
1.0
3.4464 0.0000 0.0000
0.0000 3.4464 0.0000
0.0000 0.0000 23.7119
Y Er Sc
1 5 4
direct
0.0000 0.0000 0.0000
0.5000 0.5000 0.1083
0.5000 0.5000 0.3045
0.5000 0.5000 0.5000
0.5000 0.5000 0.6955
0.5000 0.5000 0.8917
0.0000 0.0000 0.2062
0.0000 0.0000 0.4022
0.0000 0.0000 0.5978
0.0000 0.0000 0.7938
```

Entry 3:
# CsNaBe2Cl6

An optimized crystal structure of CsNaBe2Cl6 (PBE-GGA, Alexandria).

ΔE_f (raw) ... -1.62 eV/atom
V ... 32.8 A^3/atom

```
CsNaBe2Cl6
1.0
5.3785 -7.6960 0.0000
5.3785 7.6960 0.0000
-3.2802 0.0000 7.9150
Cs Na Be Cl
2 2 4 12
direct
0.1584 0.8416 0.7500
0.8416 0.1584 0.2500
0.4636 0.5364 0.2500
0.5364 0.4636 0.7500
0.1678 0.3922 0.7606
0.3922 0.1678 0.2606
0.6078 0.8322 0.7394
0.8322 0.6078 0.2394
0.0352 0.6013 0.3094
0.2165 0.2222 0.6448
0.2222 0.2165 0.1448
0.3432 0.5741 0.9395
0.3987 0.9648 0.1906
0.4259 0.6568 0.5605
0.5741 0.3432 0.4395
0.6013 0.0352 0.8094
0.6568 0.4259 0.0605
0.7778 0.7835 0.8552
0.7835 0.7778 0.3552
0.9648 0.3987 0.6906
```

Entry 4:
# TaTi3Sb

An optimized crystal structure of TaTi3Sb (PBE-GGA, Alexandria).

Energy above the lowest structure with this stoichiometry ... 1017 meV/atom
ΔE_f (raw) ... 0.84 eV/atom
V ... 22.5 A^3/atom

```
TaTi3Sb
1.0
4.8264 0.0000 0.0000
0.0000 4.8264 0.0000
0.0000 0.0000 4.8264
Ta Ti Sb
1 3 1
direct
0.0000 0.0000 0.0000
0.0000 0.0000 0.5000
0.0000 0.5000 0.0000
0.5000 0.0000 0.0000
0.5000 0.5000 0.5000
```

Entry 5:
# La3CuGe3

An optimized crystal structure of La3CuGe3 (PBE-GGA, Alexandria).

ΔE_f ... -501 kJ/mol of formula units
V ... 25.1 A^3/atom

```
La3CuGe3
1.0
-2.1067 2.2220 9.3937
2.1067 -2.2220 9.3937
2.1067 2.2220 -9.3937
La Cu Ge
3 1 3
direct
0.0000 0.0000 0.0000
0.1831 0.6831 0.5000
0.3655 0.3655 0.0000
0.6131 0.1131 0.5000
0.5451 0.5451 0.0000
0.7400 0.2400 0.5000
0.8259 0.8259 0.0000
```

Entry 6:
# La9Ho2Er

An optimized crystal structure of La9Ho2Er (PBE-GGA, Alexandria).

ΔE_f ... 8 kJ/mol of formula units
V ... 35.0 A^3/atom

```
La9Ho2Er
1.0
5.1947 0.0000 0.0000
0.0000 5.1947 0.0000
0.0000 0.0000 15.5864
La Ho Er
9 2 1
direct
0.0000 0.0000 0.0000
0.0000 0.0000 0.3334
0.0000 0.0000 0.6666
0.0000 0.5000 0.1665
0.0000 0.5000 0.5000
0.0000 0.5000 0.8335
0.5000 0.0000 0.1665
0.5000 0.0000 0.5000
0.5000 0.0000 0.8335
0.5000 0.5000 0.3333
0.5000 0.5000 0.6667
0.5000 0.5000 0.0000
```